The following is a DFT calculation (PBE with a Hubbard U) of an optimized crystal structure of KLaV2O8.

The space group is P-3m1 (No. 164) and the conventional cell measures 5.9937, 5.9937 and 7.9154 Å, with angles of 90.00, 90.00 and 120.00 degrees. The inequivalent atoms are K at (0.0000, 0.0000, 0.0000), La at (0.0000, 0.0000, 0.5000), V at (0.3333, 0.6667, 0.2301), O at (0.1743, 0.3485, 0.3015) and O at (0.3333, 0.6667, 0.0129).

Its density of states at the Fermi level is 12.28 states/eV per cell. The calculation puts the total DFT energy (no corrections) at -7.00 eV per atom.